(1)
DFT (PBE-GGA) results for a relaxed Pr2Tl3F8 crystal.

Results
The formation energy (no corrections) comes out at -2.95 eV/atom. The total energy comes out at -5.38 eV/atom.

Unit cell a=8.4233 b=8.4233 c=4.0398 alpha=90.00 beta=90.00 gamma=122.08
With the nearest neighbours (Å) after each atom.
Sites, in units of the cell vectors:
Pr 0.2459 0.7541 0.0000  8 F 2.41-2.45
Pr 0.7541 0.2459 0.0000  8 F 2.41-2.45
Tl 0.1947 0.1947 0.5000  2 F 2.78
Tl 0.5000 0.5000 0.0000  8 F 3.09-3.16, 4 Tl 3.21
Tl 0.8053 0.8053 0.5000  2 F 2.78
F 0.0939 0.4121 0.0000  2 Pr 2.43-2.45, 1 F 2.68
F 0.1551 0.8449 0.5000  2 Pr 2.42, 1 F 2.66
F 0.3353 0.6647 0.5000  2 Pr 2.41, 1 F 2.66
F 0.4121 0.0939 0.0000  2 Pr 2.43-2.45, 1 F 2.68
F 0.5879 0.9061 0.0000  2 Pr 2.43-2.45, 1 F 2.68
F 0.6647 0.3353 0.5000  2 Pr 2.41, 1 F 2.66
F 0.8449 0.1551 0.5000  2 Pr 2.42, 1 F 2.66
F 0.9061 0.5879 0.0000  2 Pr 2.43-2.45, 1 F 2.68

---

(2)
DFT (PBE-GGA) results for a relaxed KPuBeO3 crystal.

Results
The formation energy (no corrections) comes out at -2.39 eV/atom. The total energy comes out at -8.06 eV/atom.

Unit cell a=7.4590 b=3.4272 c=7.7538 alpha=90.00 beta=103.99 gamma=90.00
With the nearest neighbours (Å) after each atom.
Sites, in units of the cell vectors:
K 0.2122 0.2500 0.1785  7 O 2.84-2.97, 2 Be 3.14
K 0.7878 0.7500 0.8215  7 O 2.84-2.97, 2 Be 3.14
Pu 0.1747 0.2500 0.6510  6 O 2.29-2.48
Pu 0.8253 0.7500 0.3490  6 O 2.29-2.48
Be 0.4008 0.7500 0.9323  2 O 1.57-1.58
Be 0.5992 0.2500 0.0677  2 O 1.57-1.58
O 0.1402 0.7500 0.4453  3 Pu 2.29-2.31
O 0.1853 0.7500 0.8609  1 Be 1.57
O 0.4787 0.2500 0.8695  1 Be 1.58
O 0.5213 0.7500 0.1305  1 Be 1.58
O 0.8147 0.2500 0.1391  1 Be 1.57
O 0.8598 0.2500 0.5547  3 Pu 2.29-2.31

---

(3)
DFT (PBE-GGA) results for a relaxed KTcSe2 crystal.

Results
The relative energy among the computed polymorphs is 0.246 eV per atom. The formation energy (no corrections) comes out at -0.25 eV/atom. The total energy comes out at -4.85 eV/atom.

Unit cell a=9.3242 b=9.3242 c=9.3242 alpha=23.24 beta=23.24 gamma=23.24
With the nearest neighbours (Å) after each atom.
Sites, in units of the cell vectors:
K 0.0000 0.0000 0.0000  2 Se 3.12
Tc 0.5000 0.5000 0.5000  6 Se 2.59
Se 0.1146 0.1146 0.1146  3 Tc 2.59
Se 0.8854 0.8854 0.8854  3 Tc 2.59

---

(4)
DFT (PBE-GGA) results for a relaxed Pr4PuN5 crystal.

Results
The formation energy (no corrections) comes out at -1.28 eV/atom. The total energy comes out at -8.78 eV/atom.

Unit cell a=6.2980 b=6.2980 c=6.2980 alpha=99.65 beta=99.65 gamma=131.65
With the nearest neighbours (Å) after each atom.
Sites, in units of the cell vectors:
Pr 0.1010 0.2986 0.3996  6 N 2.56-2.78
Pr 0.2986 0.8990 0.1977  6 N 2.56-2.78
Pr 0.7014 0.1010 0.8023  6 N 2.56-2.78
Pr 0.8990 0.7014 0.6004  6 N 2.56-2.78
Pu 0.5026 0.5026 0.0000  6 N 2.37-2.65
N 0.2232 0.5921 0.8155  1 Pu 2.37, 4 Pr 2.57-2.59
N 0.4077 0.2232 0.6310  1 Pu 2.37, 4 Pr 2.57-2.59
N 0.5921 0.7767 0.3690  1 Pu 2.37, 4 Pr 2.57-2.59
N 0.7767 0.4077 0.1845  1 Pu 2.37, 4 Pr 2.57-2.59
N 0.9893 0.9893 0.0000  2 Pu 2.51-2.65, 4 Pr 2.56

---

(5)
DFT (PBE-GGA) results for a relaxed Na3ZrHg crystal.

Results
The relative energy among the computed polymorphs is 0.000 eV per atom. The calculation puts the formation energy at 769 meV per atom. The total energy comes out at -1.79 eV/atom.

Unit cell a=5.5696 b=5.5696 c=5.5696 alpha=90.00 beta=90.00 gamma=90.00
With the nearest neighbours (Å) after each atom.
Sites, in units of the cell vectors:
Na 0.0000 0.0000 0.5000  2 Hg 2.78
Na 0.0000 0.5000 0.0000  2 Hg 2.78
Na 0.5000 0.0000 0.0000  2 Hg 2.78
Zr 0.5000 0.5000 0.5000  12 Na 3.94
Hg 0.0000 0.0000 0.0000  6 Na 2.78

---

(6)
DFT (PBE-GGA) results for a relaxed SrZn2Tc crystal.

Results
The relative energy among the computed polymorphs is 0.276 eV per atom. The calculation puts the formation energy at 470 meV per atom. The total energy comes out at -3.18 eV/atom.

Unit cell a=5.1113 b=5.1113 c=2.9332 alpha=90.00 beta=90.00 gamma=103.88
With the nearest neighbours (Å) after each atom.
Sites, in units of the cell vectors:
Sr 0.0000 0.0000 0.0000  2 Sr 2.93, 8 Zn 2.95, 2 Tc 3.15
Zn 0.0000 0.5000 0.5000  4 Zn 2.93-3.15, 4 Sr 2.95, 4 Tc 2.95
Zn 0.5000 0.0000 0.5000  4 Zn 2.93-3.15, 4 Sr 2.95, 4 Tc 2.95
Tc 0.5000 0.5000 0.0000  2 Tc 2.93, 8 Zn 2.95, 2 Sr 3.15